(1)
The following is a GGA-PBEsol calculation of an optimized crystal structure of InIr2C, from the Alexandria database. Values from VASP.

Results
Energy of formation in eV/atom: 0.25
Raw total energy in eV per atom: -7.820
Density of states at the Fermi level in states/eV per atom: 0.43
Size of the total moment in μB/f.u.: 0.00

Geometry as Quantum ESPRESSO input:
```
&SYSTEM
  ibrav = 0, nat = 8, ntyp = 3
/
ATOMIC_SPECIES
In 114.82 In.upf
Ir 192.22 Ir.upf
C 12.01 C.upf
ATOMIC_POSITIONS crystal
In 0.000 0.000 0.000
In 0.750 0.250 0.500
Ir 0.239 0.625 0.114
Ir 0.375 0.489 0.614
Ir 0.511 0.125 0.886
Ir 0.875 0.761 0.386
C 0.250 0.750 0.500
C 0.500 0.500 0.000
CELL_PARAMETERS angstrom
-3.235 3.235 2.789
3.235 -3.235 2.789
3.235 3.235 -2.789
```



(2)
The following is a GGA-PBEsol calculation of an optimized crystal structure of NaVS2, from the Alexandria database. Values from VASP.

Results
Raw total energy in eV per atom: -5.980
Density of states at the Fermi level in states/eV per atom: 1.21
Size of the total moment in μB/f.u.: 2.01

Geometry as Quantum ESPRESSO input:
```
&SYSTEM
  ibrav = 0, nat = 4, ntyp = 3
/
ATOMIC_SPECIES
Na 22.99 Na.upf
V 50.94 V.upf
S 32.06 S.upf
ATOMIC_POSITIONS crystal
Na 0.000 0.000 0.000
V 0.000 0.000 0.500
S 0.333 0.667 0.703
S 0.667 0.333 0.297
CELL_PARAMETERS angstrom
3.499 0.000 0.000
-1.749 3.030 0.000
0.000 0.000 6.624
```



(3)
The following is a GGA-PBEsol calculation of an optimized crystal structure of TcRh2Cl, from the Alexandria database. Values from VASP.

Results
Raw total energy in eV per atom: -6.887
Density of states at the Fermi level in states/eV per atom: 0.96
Size of the total moment in μB/f.u.: 0.00
Relative energy among the computed polymorphs in meV per atom: 180

Geometry as Quantum ESPRESSO input:
```
&SYSTEM
  ibrav = 0, nat = 4, ntyp = 3
/
ATOMIC_SPECIES
Tc 98.00 Tc.upf
Rh 102.91 Rh.upf
Cl 35.45 Cl.upf
ATOMIC_POSITIONS crystal
Tc 0.000 0.000 0.000
Rh 0.442 0.442 0.000
Rh 0.742 0.242 0.500
Cl 0.207 0.707 0.500
CELL_PARAMETERS angstrom
-1.392 2.171 4.597
1.392 -2.171 4.597
1.392 2.171 -4.597
```



(4)
The following is a GGA-PBEsol calculation of an optimized crystal structure of VCrCo, from the Alexandria database. Values from VASP.

Results
Energy of formation in eV/atom: -0.06
Raw total energy in eV per atom: -9.260
Density of states at the Fermi level in states/eV per atom: 1.28
Size of the total moment in μB/f.u.: 0.00

Geometry as Quantum ESPRESSO input:
```
&SYSTEM
  ibrav = 0, nat = 12, ntyp = 3
/
ATOMIC_SPECIES
V 50.94 V.upf
Cr 52.00 Cr.upf
Co 58.93 Co.upf
ATOMIC_POSITIONS crystal
V 0.183 0.000 0.000
V 0.309 0.329 0.329
V 0.691 0.329 0.329
V 0.817 0.000 0.000
Cr 0.000 0.503 0.503
Cr 0.500 0.324 0.836
Cr 0.500 0.836 0.324
Cr 0.500 0.839 0.839
Co 0.000 0.018 0.509
Co 0.000 0.509 0.018
Co 0.244 0.669 0.669
Co 0.756 0.669 0.669
CELL_PARAMETERS angstrom
7.617 0.000 0.000
0.000 2.302 3.930
0.000 -2.302 3.930
```



- Which value of size of the total moment does entry 2 give?
  2.01 μB/f.u.



- density of states at the Fermi level of number 4 (VCrCo)?
  1.28 states/eV per atom



- Look up the size of the total moment of the second one.
  2.01 μB/f.u.